[1]
Here is a relaxed Pm4Bi3 crystal from Alexandria. Energies are from GGA-PBE.

a = 4.4348 Å, b = 4.4348 Å, c = 12.5707 Å
α = 100.16°, β = 100.16°, γ = 90.00°
With the nearest neighbours (Å) after each atom.
Fractional coordinates of all 7 atoms:
Bi  0.3090  0.3090  0.6180  6 Pm 3.08-3.17
Pm  0.5644  0.5644  0.1288  1 Bi 3.08, 1 Pm 3.14
Pm  0.8214  0.8214  0.6428  5 Bi 3.15-3.17
Pm  0.4356  0.4356  0.8712  1 Bi 3.08, 1 Pm 3.14
Bi  0.6910  0.6910  0.3820  6 Pm 3.08-3.17
Pm  0.1786  0.1786  0.3572  5 Bi 3.15-3.17
Bi  0.0000  0.0000  0.0000  8 Pm 3.51

Computed properties:
space-group type: I4/mmm
energy: -4.979 eV/atom
E above lowest polymorph: 0.095 eV per atom
calculated density: 8.371 g cm⁻³

[2]
Here is a relaxed CeDyGe2Rh5 crystal from Alexandria. Energies are from GGA-PBE.

a = 3.9421 Å, b = 3.9421 Å, c = 11.7448 Å
α = 90.00°, β = 90.00°, γ = 90.00°
With the nearest neighbours (Å) after each atom.
Fractional coordinates of all 9 atoms:
Rh  0.0000  0.5000  0.1704  2 Ge 2.47
Rh  0.0000  0.0000  0.5000  2 Ge 2.39
Rh  0.5000  0.0000  0.1704  2 Ge 2.47
Rh  0.0000  0.5000  0.8296  2 Ge 2.47
Ge  0.0000  0.0000  0.2965  5 Rh 2.39-2.47
Ge  0.0000  0.0000  0.7035  5 Rh 2.39-2.47
Ce  0.0000  0.0000  0.0000  8 Rh 2.81
Rh  0.5000  0.0000  0.8296  2 Ge 2.47
Dy  0.5000  0.5000  0.5000  4 Rh 2.79

Computed properties:
space-group type: P4/mmm
energy: -6.686 eV/atom
calculated density: 8.756 g cm⁻³

[3]
Here is a relaxed BaLi2Si2 crystal from Alexandria. Energies are from GGA-PBE.

a = 8.1777 Å, b = 8.1777 Å, c = 3.3176 Å
α = 90.00°, β = 90.00°, γ = 90.00°
With the nearest neighbours (Å) after each atom.
Fractional coordinates of all 10 atoms:
Si  0.3962  0.8962  0.0000  1 Si 2.40
Ba  0.0000  0.0000  0.0000  2 Ba 3.32, 4 Si 3.35, 8 Li 3.48
Li  0.6634  0.8366  0.5000  4 Si 2.79
Li  0.1634  0.6634  0.5000  4 Si 2.79
Si  0.6038  0.1038  0.0000  1 Si 2.40
Si  0.1038  0.3962  0.0000  1 Si 2.40
Li  0.8366  0.3366  0.5000  4 Si 2.79
Li  0.3366  0.1634  0.5000  4 Si 2.79
Si  0.8962  0.6038  0.0000  1 Si 2.40
Ba  0.5000  0.5000  0.0000  2 Ba 3.32, 4 Si 3.35, 8 Li 3.48

Computed properties:
space-group type: P4/mbm
energy: -3.283 eV/atom
E above lowest polymorph: 0.326 eV per atom
formation energy without anion corrections: 0.18 eV per formula unit
calculated density: 3.104 g cm⁻³